Here is CaRe2Tc after structural relaxation from Alexandria via LeMat-Bulk. Energies are from PBE-GGA.

Cell and atoms, written as extended XYZ:
```
4
Lattice="-0.421 -0.783 4.562 3.577 -1.338 0.100 1.296 3.520 0.724" Properties=species:S:1:pos:R:3 pbc="T T T"
Re 0.000 0.000 0.000
Re 2.437 1.091 0.412
Ca 0.438 1.369 2.643
Tc 1.578 -1.060 2.331
```

Here is LaHfCo2 after structural relaxation from Alexandria via LeMat-Bulk. Energies are from PBE-GGA.

Cell and atoms, written as extended XYZ:
```
8
Lattice="-5.990 -2.937 -2.109 3.478 -3.564 -4.915 -0.818 -5.576 -1.517" Properties=species:S:1:pos:R:3 pbc="T T T"
Co -3.604 -3.719 -2.344
Co 1.311 -3.945 -3.683
Co -1.608 -6.567 -3.698
Co -2.760 -9.924 -7.358
Hf 0.000 0.000 0.000
Hf -4.032 -5.882 -3.569
La -1.256 -3.251 -3.512
La 0.702 -6.195 -4.972
```

Here is Tb2TmAl after structural relaxation from Alexandria via LeMat-Bulk. Energies are from PBE-GGA.

Cell and atoms, written as extended XYZ:
```
8
Lattice="-1.750 -2.038 -4.550 6.436 -0.666 -2.176 -3.004 -5.080 3.431" Properties=species:S:1:pos:R:3 pbc="T T T"
Tb -2.225 -5.326 0.173
Tb 1.722 -1.128 -0.157
Tb 3.349 -3.852 0.438
Tb 4.779 -1.441 -1.192
Tm 0.836 -5.643 -0.862
Tm -0.796 -2.910 -1.458
Al 2.407 -3.160 -2.578
Al 0.160 -3.601 1.552
```

Total magnetic moment: 0.0 0.0 0.0 (μB per cell)
Formation energy: 930 232 -198 (meV per atom)